1.
Entry from the Open Quantum Materials Database: a relaxed structure of Li2PmZn4 (GGA-PBE).

Lattice parameters (Å, degrees): 5.514 5.514 5.514 101.87 101.87 126.07
Atoms (fractional coordinates):
Li1 0.750 0.250 0.500
Li2 0.250 0.750 0.500
Zn1 0.691 0.309 0.000
Zn2 0.309 0.691 0.000
Zn3 0.691 0.691 0.382
Zn4 0.309 0.309 0.618
Pm1 0.000 0.000 0.000

Properties
The raw total energy comes out at -2.236 eV per atom. For the density, the calculation gives 5.8 Mg/m³. Its symmetry is No. 139.

***

2.
Entry from the Open Quantum Materials Database: a relaxed structure of Li2Pm2Zn15 (GGA-PBE).

Lattice parameters (Å, degrees): 6.801 6.801 6.801 83.35 83.35 83.35
Atoms (fractional coordinates):
Li1 0.098 0.098 0.098
Li2 0.902 0.902 0.902
Zn1 0.000 0.500 0.000
Zn2 0.000 0.294 0.706
Zn3 0.650 0.650 0.159
Zn4 0.841 0.350 0.350
Zn5 0.000 0.706 0.294
Zn6 0.294 0.706 0.000
Zn7 0.706 0.294 0.000
Zn8 0.500 0.000 0.000
Zn9 0.294 0.000 0.706
Zn10 0.706 0.000 0.294
Zn11 0.650 0.159 0.650
Zn12 0.350 0.841 0.350
Zn13 0.000 0.000 0.500
Zn14 0.159 0.650 0.650
Zn15 0.350 0.350 0.841
Pm1 0.339 0.339 0.339
Pm2 0.661 0.661 0.661

Properties
The raw total energy comes out at -1.976 eV per atom. For the density, the calculation gives 6.9 Mg/m³. Its symmetry is No. 166.